1.
A relaxed LaPaS4 crystal. Source: the Alexandria database, functional PBE.

Unit cell a=6.5609 b=6.0580 c=7.1876 alpha=90.00 beta=90.42 gamma=90.00
Space group P2_1/m (No. 11)
Symmetry-distinct sites (fractional):
La 0.2319 0.2500 0.0450
Pa 0.2254 0.7500 0.4478
S 0.0644 0.5019 0.7270
S 0.3636 0.7500 0.1039
S 0.4030 0.2500 0.4108

Calculated values
The polymorph energy (0 for the lowest one) comes out at 0.000 eV/atom. As for the energy relative to the elements, uncorrected: -10.8 eV/f.u.

***

2.
A relaxed AcTb2Nd2Y2 crystal. Source: the Alexandria database, functional PBE.

Unit cell a=11.6009 b=5.1836 c=8.1756 alpha=90.00 beta=98.47 gamma=90.00
Space group C2/m (No. 12)
Symmetry-distinct sites (fractional):
Ac 0.0000 0.0000 0.0000
Tb 0.0735 0.5000 0.7075
Nd 0.2154 0.5000 0.1490
Y 0.1423 0.0000 0.4332

Calculated values
The total energy is -0.374 Ry/atom.

***

3.
A relaxed TaTiOsPdPb crystal. Source: the Alexandria database, functional PBE.

Unit cell a=3.0790 b=4.2814 c=14.7097 alpha=90.00 beta=90.00 gamma=90.00
Space group Imm2 (No. 44)
Symmetry-distinct sites (fractional):
Ta 0.0000 0.0000 0.0000
Ti 0.0000 0.0000 0.6249
Os 0.0000 0.0000 0.4652
Pd 0.0000 0.0000 0.1811
Pb 0.0000 0.5000 0.3147

Calculated values
The polymorph energy (0 for the lowest one) comes out at 0.108 eV/atom.

***

4.
A relaxed BiPdSe crystal. Source: the Alexandria database, functional PBE.

Unit cell a=6.5934 b=6.5934 c=6.5934 alpha=90.00 beta=90.00 gamma=90.00
Space group F-43m (No. 216)
Symmetry-distinct sites (fractional):
Bi 0.0000 0.0000 0.0000
Pd 0.2500 0.2500 0.7500
Se 0.0000 0.0000 0.5000

Calculated values
As for the energy relative to the elements, uncorrected: -0.8 eV/f.u.

***

5.
A relaxed Ca2AlF2 crystal. Source: the Alexandria database, functional PBE.

Unit cell a=7.9468 b=7.9468 c=3.0600 alpha=90.00 beta=90.00 gamma=90.00
Space group P4/mbm (No. 127)
Symmetry-distinct sites (fractional):
Ca 0.1425 0.3575 0.0000
Al 0.0000 0.0000 0.5000
F 0.1035 0.6035 0.5000

Calculated values
The polymorph energy (0 for the lowest one) comes out at 0.069 eV/atom. As for the energy relative to the elements, uncorrected: -9.1 eV/f.u.

***

6.
A relaxed Cd2Ga12Ag5 crystal. Source: the Alexandria database, functional PBE.

Unit cell a=11.6708 b=8.2717 c=7.7856 alpha=90.00 beta=90.13 gamma=90.00
Space group C2/m (No. 12)
Symmetry-distinct sites (fractional):
Cd 0.0000 0.2062 0.0000
Ga 0.0477 0.0000 0.6914
Ga 0.0664 0.5000 0.8322
Ga 0.1072 0.2281 0.4027
Ga 0.2310 0.1755 0.8456
Ag 0.0000 0.5000 0.5000
Ag 0.1971 0.0000 0.1585
Ag 0.2405 0.5000 0.4685

Calculated values
The total energy is -0.199 Ry/atom.

***

7.
A relaxed TlHBrF crystal. Source: the Alexandria database, functional PBE.

Unit cell a=8.5599 b=4.3518 c=5.6798 alpha=90.00 beta=92.16 gamma=90.00
Space group Cm (No. 8)
Symmetry-distinct sites (fractional):
Tl 0.0000 0.0000 0.0000
H 0.2782 0.0000 0.5651
Br 0.1917 0.5000 0.3105
F 0.3103 0.0000 0.7283

Calculated values
The total energy is -0.255 Ry/atom.

***

8.
A relaxed Ba2GaGe3Pd4 crystal. Source: the Alexandria database, functional PBE.

Unit cell a=4.5493 b=4.5493 c=10.4276 alpha=90.00 beta=90.00 gamma=90.00
Space group P-4m2 (No. 115)
Symmetry-distinct sites (fractional):
Ba 0.0000 0.5000 0.2480
Ga 0.5000 0.5000 0.0000
Ge 0.0000 0.0000 0.0000
Ge 0.0000 0.5000 0.6169
Pd 0.0000 0.0000 0.5000
Pd 0.0000 0.5000 0.8734
Pd 0.5000 0.5000 0.5000

Calculated values
The total energy is -0.353 Ry/atom.

***

9.
A relaxed LiYGa4 crystal. Source: the Alexandria database, functional PBE.

Unit cell a=4.3527 b=4.3527 c=6.8813 alpha=90.00 beta=90.00 gamma=120.00
Space group P-6m2 (No. 187)
Symmetry-distinct sites (fractional):
Li 0.0000 0.0000 0.0000
Y 0.0000 0.0000 0.5000
Ga 0.3333 0.6667 0.1914
Ga 0.6667 0.3333 0.2761

Calculated values
The polymorph energy (0 for the lowest one) comes out at 0.000 eV/atom.

***

10.
A relaxed BeCd2Pb crystal. Source: the Alexandria database, functional PBE.

Unit cell a=7.0852 b=7.0852 c=7.0852 alpha=90.00 beta=90.00 gamma=90.00
Space group F-43m (No. 216)
Symmetry-distinct sites (fractional):
Be 0.0000 0.0000 0.0000
Cd 0.0000 0.0000 0.5000
Cd 0.2500 0.2500 0.2500
Pb 0.2500 0.2500 0.7500

Calculated values
The polymorph energy (0 for the lowest one) comes out at 0.204 eV/atom.

***

11.
A relaxed Ce5Ge2NO crystal. Source: the Alexandria database, functional PBE.

Unit cell a=4.5532 b=4.5532 c=10.3506 alpha=90.00 beta=90.00 gamma=90.00
Space group P4/mmm (No. 123)
Symmetry-distinct sites (fractional):
Ce 0.0000 0.0000 0.0000
Ce 0.0000 0.5000 0.5000
Ce 0.5000 0.5000 0.2124
Ge 0.0000 0.0000 0.2880
N 0.5000 0.5000 0.0000
O 0.5000 0.5000 0.5000

Calculated values
As for the energy relative to the elements, uncorrected: -10.0 eV/f.u.

***

12.
A relaxed Th2CdPb9 crystal. Source: the Alexandria database, functional PBE.

Unit cell a=4.8434 b=4.8434 c=15.3080 alpha=90.00 beta=90.00 gamma=90.00
Space group P4/mmm (No. 123)
Symmetry-distinct sites (fractional):
Th 0.0000 0.0000 0.1538
Cd 0.0000 0.0000 0.5000
Pb 0.0000 0.5000 0.0000
Pb 0.0000 0.5000 0.3345
Pb 0.5000 0.5000 0.1692
Pb 0.5000 0.5000 0.5000

Calculated values
The total energy is -0.310 Ry/atom.

***

13.
A relaxed Ce4Dy3Se8 crystal. Source: the Alexandria database, functional PBE.

Unit cell a=8.1701 b=8.1701 c=23.0574 alpha=90.00 beta=90.00 gamma=120.00
Space group R-3m (No. 166, hexagonal axes)
Symmetry-distinct sites (fractional):
Ce 0.0000 0.0000 0.0000
Ce 0.0000 0.0000 0.1460
Ce 0.0000 0.0000 0.5000
Dy 0.0000 0.5000 0.0000
Se 0.0000 0.0000 0.2687
Se 0.0111 0.5055 0.2557

Calculated values
The polymorph energy (0 for the lowest one) comes out at 0.220 eV/atom. As for the energy relative to the elements, uncorrected: -23.9 eV/f.u.

***

14.
A relaxed CsLaSnI6 crystal. Source: the Alexandria database, functional PBE.

Unit cell a=8.3048 b=8.3048 c=8.4484 alpha=90.00 beta=90.00 gamma=120.00
Space group P312 (No. 149)
Symmetry-distinct sites (fractional):
Cs 0.0000 0.0000 0.0000
La 0.6667 0.3333 0.5000
Sn 0.3333 0.6667 0.5000
I 0.3770 0.0019 0.7185

Calculated values
As for the energy relative to the elements, uncorrected: -10.9 eV/f.u.

***

15.
A relaxed LiNdCuIr crystal. Source: the Alexandria database, functional PBE.

Unit cell a=6.5007 b=6.5007 c=6.5007 alpha=90.00 beta=90.00 gamma=90.00
Space group F-43m (No. 216)
Symmetry-distinct sites (fractional):
Li 0.0000 0.0000 0.0000
Nd 0.2500 0.2500 0.2500
Cu 0.0000 0.0000 0.5000
Ir 0.2500 0.2500 0.7500

Calculated values
The total energy is -0.372 Ry/atom.

***

16.
A relaxed NbCd3Re crystal. Source: the Alexandria database, functional PBE.

Unit cell a=5.1507 b=5.1507 c=5.1507 alpha=90.00 beta=90.00 gamma=90.00
Space group Pm-3m (No. 221)
Symmetry-distinct sites (fractional):
Nb 0.0000 0.0000 0.0000
Cd 0.0000 0.5000 0.5000
Re 0.5000 0.5000 0.5000

Calculated values
The polymorph energy (0 for the lowest one) comes out at 0.000 eV/atom.

***

17.
A relaxed La2DyHo2Hg5 crystal. Source: the Alexandria database, functional PBE.

Unit cell a=11.7672 b=11.7672 c=4.0868 alpha=90.00 beta=90.00 gamma=90.00
Space group P4/mbm (No. 127)
Symmetry-distinct sites (fractional):
La 0.1722 0.3278 0.0000
Dy 0.0000 0.0000 0.0000
Ho 0.1304 0.6304 0.0000
Hg 0.0000 0.5000 0.5000
Hg 0.0868 0.8202 0.5000

Calculated values
The total energy is -0.211 Ry/atom.

***

18.
A relaxed ScTl3Cl crystal. Source: the Alexandria database, functional PBE.

Unit cell a=5.6468 b=5.6468 c=5.6468 alpha=90.00 beta=90.00 gamma=90.00
Space group Pm-3m (No. 221)
Symmetry-distinct sites (fractional):
Sc 0.0000 0.0000 0.0000
Tl 0.0000 0.5000 0.5000
Cl 0.5000 0.5000 0.5000

Calculated values
The polymorph energy (0 for the lowest one) comes out at 0.056 eV/atom. As for the energy relative to the elements, uncorrected: 1.1 eV/f.u.

***

19.
A relaxed HfGaPbCl2 crystal. Source: the Alexandria database, functional PBE.

Unit cell a=4.7552 b=4.7552 c=5.8990 alpha=90.00 beta=90.00 gamma=90.00
Space group P4/mmm (No. 123)
Symmetry-distinct sites (fractional):
Hf 0.0000 0.0000 0.0000
Ga 0.5000 0.5000 0.5000
Pb 0.5000 0.5000 0.0000
Cl 0.0000 0.5000 0.5000

Calculated values
As for the energy relative to the elements, uncorrected: 1.3 eV/f.u.

***

20.
A relaxed Er2HfSc4 crystal. Source: the Alexandria database, functional PBE.

Unit cell a=5.0448 b=5.0448 c=16.2691 alpha=90.00 beta=90.00 gamma=90.00
Space group I4/mmm (No. 139)
Symmetry-distinct sites (fractional):
Er 0.0000 0.0000 0.1271
Hf 0.0000 0.0000 0.5000
Sc 0.0000 0.0000 0.3267
Sc 0.0000 0.5000 0.0000

Calculated values
The polymorph energy (0 for the lowest one) comes out at 0.598 eV/atom.

***

21.
A relaxed Cs2RbTl2Br7 crystal. Source: the Alexandria database, functional PBE.

Unit cell a=8.2452 b=8.2459 c=15.5114 alpha=90.00 beta=105.35 gamma=90.00
Space group C2/m (No. 12)
Symmetry-distinct sites (fractional):
Cs 0.1807 0.0000 0.3612
Rb 0.0000 0.0000 0.0000
Tl 0.1001 0.5000 0.1998
Br 0.0000 0.5000 0.0000
Br 0.1540 0.2498 0.8087
Br 0.1973 0.5000 0.3968

Calculated values
As for the energy relative to the elements, uncorrected: -14.3 eV/f.u.

***

22.
A relaxed NdTm2Ru crystal. Source: the Alexandria database, functional PBE.

Unit cell a=3.5924 b=3.5924 c=29.2054 alpha=90.00 beta=90.00 gamma=120.00
Space group R-3m (No. 166, hexagonal axes)
Symmetry-distinct sites (fractional):
Nd 0.0000 0.0000 0.0000
Tm 0.0000 0.0000 0.2282
Ru 0.0000 0.0000 0.5000

Calculated values
The polymorph energy (0 for the lowest one) comes out at 0.243 eV/atom.

***

23.
A relaxed TlCrTc2 crystal. Source: the Alexandria database, functional PBE.

Unit cell a=9.3160 b=2.9559 c=4.8264 alpha=90.00 beta=106.14 gamma=90.00
Space group C2/m (No. 12)
Symmetry-distinct sites (fractional):
Tl 0.0000 0.0000 0.0000
Cr 0.0000 0.5000 0.5000
Tc 0.2256 0.0000 0.7063

Calculated values
The polymorph energy (0 for the lowest one) comes out at 0.079 eV/atom.